Na5InPb: optimized geometry, PBE-GGA.

Lattice parameters (Å, degrees): 6.4306 8.4540 8.4540 90.72 78.11 78.11
With the nearest neighbours (Å) after each atom.
Element x y z (fractional)
1 Na 0.7500 0.7235 0.2765  3 Pb 3.44-3.75, 6 Na 3.65-3.80, 2 In 3.69
2 Na 0.0981 0.3192 0.1942  2 Pb 3.31-3.44, 2 In 3.37-3.45, 6 Na 3.37-3.69
3 Na 0.1839 0.9469 0.3401  3 Na 3.18-3.37, 2 In 3.26-3.33, 1 Pb 3.32
4 Na 0.9019 0.6808 0.8058  2 Pb 3.31-3.44, 2 In 3.37-3.45, 6 Na 3.37-3.69
5 Na 0.3161 0.6599 0.0531  3 Na 3.18-3.37, 2 In 3.26-3.33, 1 Pb 3.32
6 Na 0.4019 0.8058 0.6808  2 Pb 3.31-3.44, 2 In 3.37-3.45, 6 Na 3.37-3.69
7 Na 0.2500 0.2765 0.7235  3 Pb 3.44-3.75, 6 Na 3.65-3.80, 2 In 3.69
8 Na 0.5981 0.1942 0.3192  2 Pb 3.31-3.44, 2 In 3.37-3.45, 6 Na 3.37-3.69
9 Na 0.8161 0.0531 0.6599  3 Na 3.18-3.37, 2 In 3.26-3.33, 1 Pb 3.32
10 Na 0.6839 0.3401 0.9469  3 Na 3.18-3.37, 2 In 3.26-3.33, 1 Pb 3.32
11 In 0.5000 0.0000 0.0000  2 In 3.22, 8 Na 3.26-3.45
12 In 0.0000 0.0000 0.0000  2 In 3.22, 8 Na 3.26-3.45
13 Pb 0.2500 0.5627 0.4373  7 Na 3.31-3.44, 2 Pb 3.55
14 Pb 0.7500 0.4373 0.5627  7 Na 3.31-3.44, 2 Pb 3.55

Summary:
Calculated formation energy: -0.077 eV per atom
DFT total energy: -27.2 eV for the cell shown
Space-group type: C2/c, No. 15



MnTl2Te: optimized geometry, PBE-GGA.

Lattice parameters (Å, degrees): 10.9615 10.9615 10.9615 17.71 17.71 17.71
With the nearest neighbours (Å) after each atom.
Element x y z (fractional)
1 Tl 0.9885 0.9885 0.9885  3 Mn 3.03, 6 Tl 3.37
2 Tl 0.5115 0.5115 0.5115  3 Mn 3.03, 6 Tl 3.37
3 Mn 0.2500 0.2500 0.2500  6 Tl 3.03, 6 Mn 3.37
4 Te 0.7500 0.7500 0.7500  6 Te 3.37, 6 Tl 3.63

Summary:
ΔE_f (raw): 0.4212 eV/atom
DFT total energy: -15.4 eV for the cell shown
Space-group type: R-3m, No. 166



NbCo5Si: optimized geometry, PBE-GGA.

Lattice parameters (Å, degrees): 3.7117 3.7117 6.2517 90.00 90.00 90.00
With the nearest neighbours (Å) after each atom.
Element x y z (fractional)
1 Nb 0.0000 0.0000 0.5000  12 Co 2.58-2.62
2 Co 0.5000 0.0000 0.7862  2 Si 2.29
3 Co 0.0000 0.5000 0.2138  2 Si 2.29
4 Co 0.5000 0.0000 0.2138  2 Si 2.29
5 Co 0.0000 0.5000 0.7862  2 Si 2.29
6 Co 0.5000 0.5000 0.5000  8 Co 2.58, 4 Nb 2.62
7 Si 0.5000 0.5000 0.0000  8 Co 2.29

Summary:
ΔE_f (raw): -0.1490 eV/atom
DFT total energy: -52.1 eV for the cell shown
Space-group type: P4/mmm, No. 123



Which formula does entry 3 have? NbCo5Si



What is the DFT total energy in the first record? -27.2 eV for the cell shown



Which value of DFT total energy does entry 2 give? -15.4 eV for the cell shown